(1)
Density functional theory data (GGA-PBE) for crystalline ZrTlCo2 at its relaxed geometry.

The structure in CIF format:
```
data_ZrTlCo2
_space_group_name_H-M_alt 'I m m 2'
_space_group_IT_number 44
_cell_length_a 3.772
_cell_length_b 3.772
_cell_length_c 8.997
_cell_angle_alpha 90.00
_cell_angle_beta 90.00
_cell_angle_gamma 90.00
loop_
_space_group_symop_operation_xyz
'x,y,z'
'-x,-y,z'
'-x,y,z'
'x,-y,z'
'x+1/2,y+1/2,z+1/2'
'-x+1/2,-y+1/2,z+1/2'
'-x+1/2,y+1/2,z+1/2'
'x+1/2,-y+1/2,z+1/2'
loop_
_atom_site_label
_atom_site_type_symbol
_atom_site_fract_x
_atom_site_fract_y
_atom_site_fract_z
_atom_site_occupancy
Zr1 Zr 0.000 0.000 0.000 1
Tl1 Tl 0.000 0.500 0.750 1
Co1 Co 0.000 0.000 0.500 1
Co2 Co 0.000 0.500 0.251 1
```

Results
Size of the total moment   0.00 μB/f.u.
Distance to the lowest polymorph of the same formula   147 meV per atom
DFT formation energy   0.1246 eV per atom

***

(2)
Density functional theory data (GGA-PBE) for crystalline Zr7Tl2Co2 at its relaxed geometry.

The structure in CIF format:
```
data_Zr7Tl2Co2
_space_group_name_H-M_alt 'C m m m'
_space_group_IT_number 65
_space_group_name_Hall '-C 2 2'
_cell_length_a 7.693
_cell_length_b 10.246
_cell_length_c 6.355
_cell_angle_alpha 90.00
_cell_angle_beta 90.00
_cell_angle_gamma 90.00
loop_
_atom_site_label
_atom_site_type_symbol
_atom_site_fract_x
_atom_site_fract_y
_atom_site_fract_z
_atom_site_occupancy
Zr1 Zr 0.000 0.000 0.000 1
Zr2 Zr 0.000 0.500 0.235 1
Zr3 Zr 0.250 0.250 0.241 1
Tl1 Tl 0.182 0.000 0.500 1
Co1 Co 0.000 0.279 0.000 1
```

Results
Size of the total moment   0.00 μB/f.u.
DFT formation energy   0.0725 eV per atom

***

(3)
Density functional theory data (GGA-PBE) for crystalline Zr2TlCo2 at its relaxed geometry.

The structure in CIF format:
```
data_Zr2TlCo2
_space_group_name_H-M_alt 'I 4/m m m'
_space_group_IT_number 139
_space_group_name_Hall '-I 4 2'
_cell_length_a 4.488
_cell_length_b 4.488
_cell_length_c 9.496
_cell_angle_alpha 90.00
_cell_angle_beta 90.00
_cell_angle_gamma 90.00
loop_
_atom_site_label
_atom_site_type_symbol
_atom_site_fract_x
_atom_site_fract_y
_atom_site_fract_z
_atom_site_occupancy
Zr1 Zr 0.000 0.500 0.250 1
Tl1 Tl 0.000 0.000 0.000 1
Co1 Co 0.000 0.000 0.384 1
```

Results
Size of the total moment   0.00 μB/f.u.
DFT formation energy   -0.0053 eV per atom

***

(4)
Density functional theory data (GGA-PBE) for crystalline ZrTlCo2 at its relaxed geometry.

The structure in CIF format:
```
data_ZrTlCo2
_space_group_name_H-M_alt 'F -4 3 m'
_space_group_IT_number 216
_space_group_name_Hall 'F -4 2 3'
_cell_length_a 6.466
_cell_length_b 6.466
_cell_length_c 6.466
_cell_angle_alpha 90.00
_cell_angle_beta 90.00
_cell_angle_gamma 90.00
loop_
_atom_site_label
_atom_site_type_symbol
_atom_site_fract_x
_atom_site_fract_y
_atom_site_fract_z
_atom_site_occupancy
Zr1 Zr 0.000 0.000 0.000 1
Tl1 Tl 0.250 0.250 0.250 1
Co1 Co 0.000 0.000 0.500 1
Co2 Co 0.250 0.250 0.750 1
```

Results
Size of the total moment   2.90 μB/f.u.
Distance to the lowest polymorph of the same formula   351 meV per atom
DFT formation energy   0.3293 eV per atom

***

(5)
Density functional theory data (GGA-PBE) for crystalline ZrTlCo2 at its relaxed geometry.

The structure in CIF format:
```
data_ZrTlCo2
_space_group_name_H-M_alt 'P 4/m m m'
_space_group_IT_number 123
_space_group_name_Hall '-P 4 2'
_cell_length_a 3.243
_cell_length_b 3.243
_cell_length_c 6.241
_cell_angle_alpha 90.00
_cell_angle_beta 90.00
_cell_angle_gamma 90.00
loop_
_atom_site_label
_atom_site_type_symbol
_atom_site_fract_x
_atom_site_fract_y
_atom_site_fract_z
_atom_site_occupancy
Zr1 Zr 0.000 0.000 0.000 1
Tl1 Tl 0.000 0.000 0.500 1
Co1 Co 0.500 0.500 0.233 1
```

Results
Size of the total moment   1.18 μB/f.u.
Distance to the lowest polymorph of the same formula   67 meV per atom
DFT formation energy   0.0453 eV per atom

***

(6)
Density functional theory data (GGA-PBE) for crystalline Zr6TlCo at its relaxed geometry.

The structure in CIF format:
```
data_Zr6TlCo
_space_group_name_H-M_alt 'C 1 2/m 1'
_space_group_IT_number 12
_cell_length_a 6.235
_cell_length_b 9.546
_cell_length_c 5.856
_cell_angle_alpha 90.00
_cell_angle_beta 100.25
_cell_angle_gamma 90.00
loop_
_space_group_symop_operation_xyz
'x,y,z'
'-x,-y,-z'
'-x,y,-z'
'x,-y,z'
'x+1/2,y+1/2,z'
'-x+1/2,-y+1/2,-z'
'-x+1/2,y+1/2,-z'
'x+1/2,-y+1/2,z'
loop_
_atom_site_label
_atom_site_type_symbol
_atom_site_fract_x
_atom_site_fract_y
_atom_site_fract_z
_atom_site_occupancy
Zr1 Zr 0.126 0.214 0.253 1
Zr2 Zr 0.246 0.000 0.914 1
Tl1 Tl 0.000 0.500 0.500 1
Co1 Co 0.000 0.000 0.500 1
```

Results
Size of the total moment   1.12 μB/f.u.
DFT formation energy   -0.0163 eV per atom

***

(7)
Density functional theory data (GGA-PBE) for crystalline ZrTlCo2 at its relaxed geometry.

The structure in CIF format:
```
data_ZrTlCo2
_space_group_name_H-M_alt 'F m -3 m'
_space_group_IT_number 225
_space_group_name_Hall '-F 4 2 3'
_cell_length_a 6.330
_cell_length_b 6.330
_cell_length_c 6.330
_cell_angle_alpha 90.00
_cell_angle_beta 90.00
_cell_angle_gamma 90.00
loop_
_atom_site_label
_atom_site_type_symbol
_atom_site_fract_x
_atom_site_fract_y
_atom_site_fract_z
_atom_site_occupancy
Zr1 Zr 0.000 0.000 0.000 1
Tl1 Tl 0.000 0.000 0.500 1
Co1 Co 0.250 0.250 0.250 1
```

Results
Size of the total moment   1.07 μB/f.u.
Distance to the lowest polymorph of the same formula   0 meV per atom
DFT formation energy   -0.0219 eV per atom

***

(8)
Density functional theory data (GGA-PBE) for crystalline Tm3Co at its relaxed geometry.

The structure in CIF format:
```
data_Tm3Co
_space_group_name_H-M_alt 'P 42/n'
_space_group_IT_number 86
_cell_length_a 11.197
_cell_length_b 11.197
_cell_length_c 6.148
_cell_angle_alpha 90.00
_cell_angle_beta 90.00
_cell_angle_gamma 90.00
loop_
_space_group_symop_operation_xyz
'x,y,z'
'-x,-y,-z'
'-y,x+1/2,z+1/2'
'y,-x+1/2,-z+1/2'
'-x+1/2,-y+1/2,z'
'x+1/2,y+1/2,-z'
'y+1/2,-x,z+1/2'
'-y+1/2,x,-z+1/2'
loop_
_atom_site_label
_atom_site_type_symbol
_atom_site_fract_x
_atom_site_fract_y
_atom_site_fract_z
_atom_site_occupancy
Tm1 Tm 0.034 0.593 0.194 1
Tm2 Tm 0.113 0.666 0.688 1
Tm3 Tm 0.119 0.189 0.028 1
Co1 Co 0.056 0.181 0.509 1
```

Results
Size of the total moment   0.00 μB/f.u.
DFT formation energy   -0.1185 eV per atom

***

(9)
Density functional theory data (GGA-PBE) for crystalline Tm3Co2 at its relaxed geometry.

The structure in CIF format:
```
data_Tm3Co2
_space_group_name_H-M_alt 'C 1 2/m 1'
_space_group_IT_number 12
_cell_length_a 14.063
_cell_length_b 4.557
_cell_length_c 9.807
_cell_angle_alpha 90.00
_cell_angle_beta 91.28
_cell_angle_gamma 90.00
loop_
_space_group_symop_operation_xyz
'x,y,z'
'-x,-y,-z'
'-x,y,-z'
'x,-y,z'
'x+1/2,y+1/2,z'
'-x+1/2,-y+1/2,-z'
'-x+1/2,y+1/2,-z'
'x+1/2,-y+1/2,z'
loop_
_atom_site_label
_atom_site_type_symbol
_atom_site_fract_x
_atom_site_fract_y
_atom_site_fract_z
_atom_site_occupancy
Tm1 Tm 0.000 0.000 0.000 1
Tm2 Tm 0.001 0.000 0.667 1
Tm3 Tm 0.165 0.500 0.336 1
Tm4 Tm 0.166 0.500 0.003 1
Tm5 Tm 0.169 0.500 0.669 1
Co1 Co 0.002 0.500 0.164 1
Co2 Co 0.163 0.000 0.170 1
Co3 Co 0.170 0.000 0.498 1
```

Results
Size of the total moment   0.00 μB/f.u.
Distance to the lowest polymorph of the same formula   30 meV per atom
DFT formation energy   -0.1669 eV per atom

***

(10)
Density functional theory data (GGA-PBE) for crystalline Tm3Co at its relaxed geometry.

The structure in CIF format:
```
data_Tm3Co
_space_group_name_H-M_alt 'P m m 2'
_space_group_IT_number 25
_cell_length_a 3.310
_cell_length_b 3.513
_cell_length_c 8.842
_cell_angle_alpha 90.00
_cell_angle_beta 90.00
_cell_angle_gamma 90.00
loop_
_space_group_symop_operation_xyz
'x,y,z'
'-x,-y,z'
'-x,y,z'
'x,-y,z'
loop_
_atom_site_label
_atom_site_type_symbol
_atom_site_fract_x
_atom_site_fract_y
_atom_site_fract_z
_atom_site_occupancy
Tm1 Tm 0.000 0.000 0.000 1
Tm2 Tm 0.000 0.500 0.345 1
Tm3 Tm 0.500 0.500 0.710 1
Co1 Co 0.500 0.000 0.487 1
```

Results
Size of the total moment   0.00 μB/f.u.
DFT formation energy   0.1183 eV per atom

***

(11)
Density functional theory data (GGA-PBE) for crystalline Tm4Co at its relaxed geometry.

The structure in CIF format:
```
data_Tm4Co
_space_group_name_H-M_alt 'P m -3 m'
_space_group_IT_number 221
_space_group_name_Hall '-P 4 2 3'
_cell_length_a 5.187
_cell_length_b 5.187
_cell_length_c 5.187
_cell_angle_alpha 90.00
_cell_angle_beta 90.00
_cell_angle_gamma 90.00
loop_
_atom_site_label
_atom_site_type_symbol
_atom_site_fract_x
_atom_site_fract_y
_atom_site_fract_z
_atom_site_occupancy
Tm1 Tm 0.000 0.000 0.000 1
Tm2 Tm 0.000 0.500 0.500 1
Co1 Co 0.500 0.500 0.500 1
```

Results
Size of the total moment   0.00 μB/f.u.
Distance to the lowest polymorph of the same formula   57 meV per atom
DFT formation energy   -0.0240 eV per atom

***

(12)
Density functional theory data (GGA-PBE) for crystalline Tm3Co at its relaxed geometry.

The structure in CIF format:
```
data_Tm3Co
_space_group_name_H-M_alt 'I m m 2'
_space_group_IT_number 44
_cell_length_a 3.481
_cell_length_b 10.561
_cell_length_c 5.198
_cell_angle_alpha 90.00
_cell_angle_beta 90.00
_cell_angle_gamma 90.00
loop_
_space_group_symop_operation_xyz
'x,y,z'
'-x,-y,z'
'-x,y,z'
'x,-y,z'
'x+1/2,y+1/2,z+1/2'
'-x+1/2,-y+1/2,z+1/2'
'-x+1/2,y+1/2,z+1/2'
'x+1/2,-y+1/2,z+1/2'
loop_
_atom_site_label
_atom_site_type_symbol
_atom_site_fract_x
_atom_site_fract_y
_atom_site_fract_z
_atom_site_occupancy
Tm1 Tm 0.000 0.000 0.000 1
Tm2 Tm 0.000 0.193 0.500 1
Co1 Co 0.000 0.500 0.001 1
```

Results
Size of the total moment   0.00 μB/f.u.
DFT formation energy   -0.1095 eV per atom

***

The lowest DFT formation energy belongs to which entry?
Tm3Co2

***

Number 3 is which compound?
Zr2TlCo2

***

Which of these has the highest DFT formation energy?
number 4

***

Among the records above, which one has the highest DFT formation energy?
number 4